(1)
CaMgTlGa | PBE | optimized geometry

V: 386.7 Å³/cell
crystal system: cubic
final energy: -2.53 eV/atom

Cell: 7.2853 7.2853 7.2853 Å, 90.00 90.00 90.00°
Atoms (fractional coordinates):
Ca 0.0000 0.0000 0.0000
Ca 0.0000 0.5000 0.5000
Ca 0.5000 0.0000 0.5000
Ca 0.5000 0.5000 0.0000
Mg 0.0000 0.0000 0.5000
Mg 0.0000 0.5000 0.0000
Mg 0.5000 0.0000 0.0000
Mg 0.5000 0.5000 0.5000
Tl 0.2500 0.2500 0.7500
Tl 0.2500 0.7500 0.2500
Tl 0.7500 0.2500 0.2500
Tl 0.7500 0.7500 0.7500
Ga 0.2500 0.2500 0.2500
Ga 0.2500 0.7500 0.7500
Ga 0.7500 0.2500 0.7500
Ga 0.7500 0.7500 0.2500

(2)
CaMg2Zn2Ga2 | PBE | optimized geometry

V: 143.7 Å³/cell
crystal system: trigonal
final energy: -2.24 eV/atom

Cell: 8.9416 8.9416 8.9416 Å, 28.48 28.48 28.48°
Atoms (fractional coordinates):
Ca 0.0000 0.0000 0.0000
Mg 0.1352 0.1352 0.1352
Mg 0.8648 0.8648 0.8648
Zn 0.4141 0.4141 0.4141
Zn 0.5859 0.5859 0.5859
Ga 0.2527 0.2527 0.2527
Ga 0.7473 0.7473 0.7473

(3)
CaMgZn2Ga2 | PBE | optimized geometry

V: 118.8 Å³/cell
crystal system: trigonal
final energy: -2.33 eV/atom

Cell: 4.3891 4.3891 7.1216 Å, 90.00 90.00 120.00°
Atoms (fractional coordinates):
Ca 0.0000 0.0000 0.0000
Mg 0.0000 0.0000 0.5000
Zn 0.3333 0.6667 0.7122
Zn 0.6667 0.3333 0.2878
Ga 0.3333 0.6667 0.2718
Ga 0.6667 0.3333 0.7282

(4)
CaMn2Ga2 | PBE | optimized geometry

V: 174.0 Å³/cell
crystal system: tetragonal
final energy: -5.22 eV/atom

Cell: 4.3734 4.3734 9.0984 Å, 90.00 90.00 90.00°
Atoms (fractional coordinates):
Ca 0.0000 0.0000 0.0000
Ca 0.5000 0.5000 0.5000
Mn 0.0000 0.0000 0.3917
Mn 0.0000 0.0000 0.6083
Mn 0.5000 0.5000 0.1083
Mn 0.5000 0.5000 0.8917
Ga 0.0000 0.5000 0.2500
Ga 0.0000 0.5000 0.7500
Ga 0.5000 0.0000 0.2500
Ga 0.5000 0.0000 0.7500

(5)
CaMn2Ga | PBE | optimized geometry

V: 332.8 Å³/cell
crystal system: tetragonal
final energy: -5.39 eV/atom

Cell: 4.3372 4.3372 17.6907 Å, 90.00 90.00 90.00°
Atoms (fractional coordinates):
Ca 0.0000 0.0000 0.0000
Ca 0.0000 0.5000 0.2500
Ca 0.5000 0.0000 0.7500
Ca 0.5000 0.5000 0.5000
Mn 0.0164 0.2500 0.6250
Mn 0.2500 0.5164 0.8750
Mn 0.2500 0.9836 0.3750
Mn 0.4836 0.2500 0.1250
Mn 0.5164 0.7500 0.1250
Mn 0.7500 0.0164 0.3750
Mn 0.7500 0.4836 0.8750
Mn 0.9836 0.7500 0.6250
Ga 0.0000 0.0000 0.5000
Ga 0.0000 0.5000 0.7500
Ga 0.5000 0.0000 0.2500
Ga 0.5000 0.5000 0.0000

(6)
Ca2MnGaN | PBE | optimized geometry

V: 96.9 Å³/cell
crystal system: tetragonal
final energy: -5.38 eV/atom
formation energy from raw total energies: -476 meV per atom

Cell: 5.0134 5.0134 3.8555 Å, 90.00 90.00 90.00°
Atoms (fractional coordinates):
Ca 0.0000 0.5000 0.0000
Ca 0.5000 0.0000 0.0000
Mn 0.0000 0.0000 0.5000
Ga 0.5000 0.5000 0.5000
N 0.0000 0.0000 0.0000

Question: Number 3 is which compound?
Answer: CaMgZn2Ga2

Repeat the third record exactly.
CaMgZn2Ga2 | PBE | optimized geometry

V: 118.8 Å³/cell
crystal system: trigonal
final energy: -2.33 eV/atom

Cell: 4.3891 4.3891 7.1216 Å, 90.00 90.00 120.00°
Atoms (fractional coordinates):
Ca 0.0000 0.0000 0.0000
Mg 0.0000 0.0000 0.5000
Zn 0.3333 0.6667 0.7122
Zn 0.6667 0.3333 0.2878
Ga 0.3333 0.6667 0.2718
Ga 0.6667 0.3333 0.7282

Question: The lowest final energy belongs to which entry?
Answer: CaMn2Ga

Question: What is the final energy in the fourth record?
Answer: -5.22 eV/atom